[1]
Computed, not measured: crystalline FeTc2SnAu at its relaxed geometry at the PBE level of DFT.

a b c (Å): 4.425 4.425 4.894
angles (deg): 90.00 90.00 90.00
Sites, in units of the cell vectors:
1 Fe 0.000 0.000 0.000
2 Tc 0.000 0.500 0.000
3 Tc 0.500 0.000 0.000
4 Sn 0.500 0.500 0.500
5 Au 0.000 0.000 0.500

Computed properties:
total magnetic moment = 2.11 μB/cell
energy of formation = 1.001 eV/atom



[2]
Computed, not measured: crystalline TlFe2SnAu at its relaxed geometry at the PBE level of DFT.

a b c (Å): 4.936 4.936 5.662
angles (deg): 90.00 90.00 90.00
Sites, in units of the cell vectors:
1 Tl 0.000 0.000 0.000
2 Fe 0.000 0.500 0.000
3 Fe 0.500 0.000 0.000
4 Sn 0.000 0.000 0.500
5 Au 0.500 0.500 0.500

Computed properties:
total magnetic moment = 6.29 μB/cell
energy of formation = 1.452 eV/atom
distance to the lowest polymorph of the same formula = 245 meV/atom



Let's list Fermi-level density of states in order: 6.14 12.30 states/eV/cell.